Compound: LaGaFe3
Source: the Alexandria database
Functional: PBE-GGA
Structure: relaxed

It has space group Pm-3m (No. 221), with a = 4.576 Å, b = 4.576 Å, c = 4.576 Å, α = 90.00°, β = 90.00° and γ = 90.00°. The distinct sites, in fractional coordinates, are La at (0.000, 0.000, 0.000), Ga at (0.500, 0.500, 0.500) and Fe at (0.000, 0.500, 0.500).

Its crystal system is cubic. As for the total magnetization: 6.75 μB per formula unit. The offset from the most stable computed form is 0.0 meV per atom. The calculated formation energy comes out at 527 meV per atom.